Entry 1:
Below is a geometry-optimized GeMoAu2 structure, with properties calculated at the GGA-PBE level.

Structure (CIF):
```
data_GeMoAu2
_chemical_formula_sum 'Ge4 Mo4 Au8'
_space_group_name_H-M_alt 'F -4 3 m'
_space_group_IT_number 216
_space_group_name_Hall 'F -4 2 3'
_cell_length_a 6.495
_cell_length_b 6.495
_cell_length_c 6.495
_cell_angle_alpha 90.00
_cell_angle_beta 90.00
_cell_angle_gamma 90.00
loop_
_atom_site_label
_atom_site_type_symbol
_atom_site_fract_x
_atom_site_fract_y
_atom_site_fract_z
Ge1 Ge 0.000 0.000 0.000
Mo1 Mo 0.250 0.250 0.250
Au1 Au 0.000 0.000 0.500
Au2 Au 0.250 0.250 0.750
```

Output
For the uncorrected energy, the calculation gives -82.57 eV/cell.



Entry 2:
Below is a geometry-optimized GeMo4AuN2 structure, with properties calculated at the GGA-PBE level.

Structure (CIF):
```
data_GeMo4AuN2
_chemical_formula_sum 'Ge1 Mo4 Au1 N2'
_space_group_name_H-M_alt 'P -6 m 2'
_space_group_IT_number 187
_space_group_name_Hall 'P -6 2'
_cell_length_a 2.9351
_cell_length_b 2.9351
_cell_length_c 14.2915
_cell_angle_alpha 90.00
_cell_angle_beta 90.00
_cell_angle_gamma 120.00
loop_
_atom_site_label
_atom_site_type_symbol
_atom_site_fract_x
_atom_site_fract_y
_atom_site_fract_z
Ge1 Ge 0.0000 0.0000 0.0000
Mo1 Mo 0.0000 0.0000 0.3315
Mo2 Mo 0.3333 0.6667 0.1462
Au1 Au 0.3333 0.6667 0.5000
N1 N 0.6667 0.3333 0.2397
```

Output
For the uncorrected energy, the calculation gives -67.81 eV/cell.



Entry 3:
Below is a geometry-optimized NiGeMoAu structure, with properties calculated at the GGA-PBE level.

Structure (CIF):
```
data_NiGeMoAu
_chemical_formula_sum 'Ni4 Ge4 Mo4 Au4'
_space_group_name_H-M_alt 'F -4 3 m'
_space_group_IT_number 216
_space_group_name_Hall 'F -4 2 3'
_cell_length_a 6.223
_cell_length_b 6.223
_cell_length_c 6.223
_cell_angle_alpha 90.00
_cell_angle_beta 90.00
_cell_angle_gamma 90.00
loop_
_atom_site_label
_atom_site_type_symbol
_atom_site_fract_x
_atom_site_fract_y
_atom_site_fract_z
Ni1 Ni 0.000 0.000 0.000
Ge1 Ge 0.250 0.250 0.750
Mo1 Mo 0.000 0.000 0.500
Au1 Au 0.250 0.250 0.250
```

Output
For the uncorrected energy, the calculation gives -94.12 eV/cell.



Entry 4:
Below is a geometry-optimized Nb4GeAuN2 structure, with properties calculated at the GGA-PBE level.

Structure (CIF):
```
data_Nb4GeAuN2
_chemical_formula_sum 'Nb4 Ge1 Au1 N2'
_space_group_name_H-M_alt 'P -6 m 2'
_space_group_IT_number 187
_space_group_name_Hall 'P -6 2'
_cell_length_a 3.2404
_cell_length_b 3.2404
_cell_length_c 12.9354
_cell_angle_alpha 90.00
_cell_angle_beta 90.00
_cell_angle_gamma 120.00
loop_
_atom_site_label
_atom_site_type_symbol
_atom_site_fract_x
_atom_site_fract_y
_atom_site_fract_z
Nb1 Nb 0.0000 0.0000 0.1532
Nb2 Nb 0.6667 0.3333 0.3279
Ge1 Ge 0.6667 0.3333 0.0000
Au1 Au 0.0000 0.0000 0.5000
N1 N 0.3333 0.6667 0.2447
```

Output
For the uncorrected energy, the calculation gives -69.72 eV/cell.



Entry 5:
Below is a geometry-optimized GeAuNO structure, with properties calculated at the GGA-PBE level.

Structure (CIF):
```
data_GeAuNO
_chemical_formula_sum 'Ge2 Au2 N2 O2'
_space_group_name_H-M_alt 'P 4/n m m'
_space_group_IT_number 129
_cell_length_a 4.163
_cell_length_b 4.163
_cell_length_c 6.233
_cell_angle_alpha 90.00
_cell_angle_beta 90.00
_cell_angle_gamma 90.00
loop_
_space_group_symop_operation_xyz
'x,y,z'
'-x,-y,-z'
'-y+1/2,x,z'
'y+1/2,-x,-z'
'-x+1/2,-y+1/2,z'
'x+1/2,y+1/2,-z'
'y,-x+1/2,z'
'-y,x+1/2,-z'
'x+1/2,-y,-z'
'-x+1/2,y,z'
'-y,-x,-z'
'y,x,z'
'-x,y+1/2,-z'
'x,-y+1/2,z'
'y+1/2,x+1/2,-z'
'-y+1/2,-x+1/2,z'
loop_
_atom_site_label
_atom_site_type_symbol
_atom_site_fract_x
_atom_site_fract_y
_atom_site_fract_z
Ge1 Ge 0.250 0.750 0.000
Au1 Au 0.250 0.250 0.379
N1 N 0.250 0.250 0.969
O1 O 0.250 0.750 0.500
```

Output
The value obtained for the energy above the most stable polymorph in this dataset is 986 meV per atom.



Entry 6:
Below is a geometry-optimized GeAuNO structure, with properties calculated at the GGA-PBE level.

Structure (CIF):
```
data_GeAuNO
_chemical_formula_sum 'Ge2 Au2 N2 O2'
_space_group_name_H-M_alt 'P m c 21'
_space_group_IT_number 26
_space_group_name_Hall 'P 2c -2'
_cell_length_a 3.066
_cell_length_b 6.359
_cell_length_c 5.558
_cell_angle_alpha 90.00
_cell_angle_beta 90.00
_cell_angle_gamma 90.00
loop_
_atom_site_label
_atom_site_type_symbol
_atom_site_fract_x
_atom_site_fract_y
_atom_site_fract_z
Ge1 Ge 0.000 0.105 0.000
Au1 Au 0.500 0.409 0.407
N1 N 0.000 0.137 0.326
O1 O 0.500 0.242 0.892
```

Output
The value obtained for the energy above the most stable polymorph in this dataset is 338 meV per atom.



Entry 7:
Below is a geometry-optimized GeAuNO structure, with properties calculated at the GGA-PBE level.

Structure (CIF):
```
data_GeAuNO
_chemical_formula_sum 'Ge2 Au2 N2 O2'
_space_group_name_H-M_alt 'P 4/n m m'
_space_group_IT_number 129
_cell_length_a 4.090
_cell_length_b 4.090
_cell_length_c 7.617
_cell_angle_alpha 90.00
_cell_angle_beta 90.00
_cell_angle_gamma 90.00
loop_
_space_group_symop_operation_xyz
'x,y,z'
'-x,-y,-z'
'-y+1/2,x,z'
'y+1/2,-x,-z'
'-x+1/2,-y+1/2,z'
'x+1/2,y+1/2,-z'
'y,-x+1/2,z'
'-y,x+1/2,-z'
'x+1/2,-y,-z'
'-x+1/2,y,z'
'-y,-x,-z'
'y,x,z'
'-x,y+1/2,-z'
'x,-y+1/2,z'
'y+1/2,x+1/2,-z'
'-y+1/2,-x+1/2,z'
loop_
_atom_site_label
_atom_site_type_symbol
_atom_site_fract_x
_atom_site_fract_y
_atom_site_fract_z
Ge1 Ge 0.250 0.250 0.106
Au1 Au 0.250 0.750 0.500
N1 N 0.250 0.250 0.575
O1 O 0.250 0.750 0.000
```

Output
The value obtained for the energy above the most stable polymorph in this dataset is 849 meV per atom.



Entry 8:
Below is a geometry-optimized GeAuNO structure, with properties calculated at the GGA-PBE level.

Structure (CIF):
```
data_GeAuNO
_chemical_formula_sum 'Ge4 Au4 N4 O4'
_space_group_name_H-M_alt 'P b c m'
_space_group_IT_number 57
_space_group_name_Hall '-P 2c 2b'
_cell_length_a 7.693
_cell_length_b 5.860
_cell_length_c 5.372
_cell_angle_alpha 90.00
_cell_angle_beta 90.00
_cell_angle_gamma 90.00
loop_
_atom_site_label
_atom_site_type_symbol
_atom_site_fract_x
_atom_site_fract_y
_atom_site_fract_z
Ge1 Ge 0.162 0.250 0.000
Au1 Au 0.477 0.647 0.250
N1 N 0.300 0.118 0.750
O1 O 0.042 0.105 0.250
```

Output
The value obtained for the energy above the most stable polymorph in this dataset is 176 meV per atom.